First-principles (PBE) data for an optimized crystal structure of TbPr4Nd6, as listed in Alexandria.

Summary:
Magnetic moment ... 0.00 Bohr magnetons per cell
Energy of formation ... 0.27 eV/atom

Cell lengths 6.782, 6.782, 9.929 Å; angles 109.97, 109.97, 90.00 degrees
Fractional coordinates of all 11 atoms:
Tb1 0.500 0.500 0.000
Pr1 0.050 0.695 0.745
Pr2 0.950 0.950 0.255
Pr3 0.695 0.050 0.745
Pr4 0.305 0.305 0.255
Nd1 0.865 0.487 0.352
Nd2 0.487 0.865 0.352
Nd3 0.513 0.513 0.648
Nd4 0.000 0.500 0.000
Nd5 0.135 0.135 0.648
Nd6 0.500 0.000 0.000



First-principles (PBE) data for an optimized crystal structure of Tb4PrNd6, as listed in Alexandria.

Summary:
Excess energy over the best structure of this formula in the dataset ... 0.0000 eV per atom
Magnetic moment ... 0.00 Bohr magnetons per cell
Energy of formation ... 0.15 eV/atom

Cell lengths 3.610, 11.155, 11.155 Å; angles 120.00, 90.00, 90.00 degrees
Fractional coordinates of all 11 atoms:
Tb1 0.500 0.838 0.677
Tb2 0.500 0.323 0.162
Tb3 0.500 0.838 0.162
Tb4 0.000 0.333 0.667
Pr1 0.000 0.000 0.000
Nd1 0.000 0.524 0.048
Nd2 0.500 0.634 0.817
Nd3 0.000 0.524 0.476
Nd4 0.000 0.952 0.476
Nd5 0.500 0.183 0.817
Nd6 0.500 0.183 0.366



First-principles (PBE) data for an optimized crystal structure of Tb8PrNd2, as listed in Alexandria.

Summary:
Excess energy over the best structure of this formula in the dataset ... 0.0447 eV per atom
Magnetic moment ... 0.00 Bohr magnetons per cell
Energy of formation ... 0.16 eV/atom

Cell lengths 6.733, 10.342, 10.342 Å; angles 37.84, 59.12, 59.12 degrees
Fractional coordinates of all 11 atoms:
Tb1 0.231 0.353 0.826
Tb2 0.769 0.174 0.647
Tb3 0.182 0.756 0.756
Tb4 0.818 0.244 0.244
Tb5 0.231 0.826 0.353
Tb6 0.769 0.647 0.174
Tb7 0.731 0.587 0.587
Tb8 0.269 0.413 0.413
Pr1 0.000 0.000 0.000
Nd1 0.611 0.796 0.796
Nd2 0.389 0.204 0.204



First-principles (PBE) data for an optimized crystal structure of Tb3Pr5Nd3, as listed in Alexandria.

Summary:
Excess energy over the best structure of this formula in the dataset ... 0.0000 eV per atom
Magnetic moment ... 0.00 Bohr magnetons per cell
Energy of formation ... 0.30 eV/atom

Cell lengths 3.481, 11.487, 11.487 Å; angles 120.00, 90.00, 90.00 degrees
Fractional coordinates of all 11 atoms:
Tb1 0.500 0.841 0.000
Tb2 0.500 0.159 0.159
Tb3 0.500 0.000 0.841
Pr1 0.500 0.667 0.333
Pr2 0.500 0.333 0.667
Pr3 0.500 0.338 0.000
Pr4 0.500 0.662 0.662
Pr5 0.500 0.000 0.338
Nd1 0.000 0.598 0.000
Nd2 0.000 0.000 0.598
Nd3 0.000 0.402 0.402



First-principles (PBE) data for an optimized crystal structure of Tb7Pr12Nd, as listed in Alexandria.

Summary:
Excess energy over the best structure of this formula in the dataset ... 0.0000 eV per atom
Magnetic moment ... 0.00 Bohr magnetons per cell
Energy of formation ... 0.14 eV/atom

Cell lengths 9.520, 9.520, 9.520 Å; angles 107.84, 107.84, 107.84 degrees
Fractional coordinates of all 20 atoms:
Tb1 0.106 0.680 0.992
Tb2 0.320 0.008 0.894
Tb3 0.008 0.894 0.320
Tb4 0.500 0.500 0.500
Tb5 0.992 0.106 0.680
Tb6 0.680 0.992 0.106
Tb7 0.894 0.320 0.008
Pr1 0.778 0.329 0.623
Pr2 0.671 0.377 0.222
Pr3 0.407 0.052 0.295
Pr4 0.948 0.705 0.593
Pr5 0.377 0.222 0.671
Pr6 0.705 0.593 0.948
Pr7 0.295 0.407 0.052
Pr8 0.623 0.778 0.329
Pr9 0.052 0.295 0.407
Pr10 0.593 0.948 0.705
Pr11 0.329 0.623 0.778
Pr12 0.222 0.671 0.377
Nd1 0.000 0.000 0.000



First-principles (PBE) data for an optimized crystal structure of Tb8Pr3Nd4, as listed in Alexandria.

Summary:
Magnetic moment ... 0.00 Bohr magnetons per cell
Energy of formation ... 0.35 eV/atom

Cell lengths 6.860, 9.391, 9.391 Å; angles 87.28, 111.44, 111.44 degrees
Fractional coordinates of all 15 atoms:
Tb1 0.531 0.268 0.268
Tb2 0.000 0.641 0.359
Tb3 0.007 0.267 0.267
Tb4 0.500 0.743 0.257
Tb5 0.500 0.257 0.743
Tb6 0.993 0.733 0.733
Tb7 0.000 0.359 0.641
Tb8 0.469 0.732 0.732
Pr1 0.500 0.500 0.000
Pr2 0.500 0.000 0.500
Pr3 0.500 0.500 0.500
Nd1 0.500 0.000 0.000
Nd2 0.000 0.500 0.000
Nd3 0.000 0.000 0.000
Nd4 0.000 0.000 0.500



First-principles (PBE) data for an optimized crystal structure of Tb5PrNd4, as listed in Alexandria.

Summary:
Excess energy over the best structure of this formula in the dataset ... 0.0000 eV per atom
Magnetic moment ... 0.00 Bohr magnetons per cell
Energy of formation ... 0.14 eV/atom

Cell lengths 3.482, 6.879, 14.440 Å; angles 97.16, 96.93, 90.00 degrees
Fractional coordinates of all 10 atoms:
Tb1 0.204 0.603 0.408
Tb2 0.207 0.102 0.414
Tb3 0.793 0.898 0.586
Tb4 0.500 0.500 0.000
Tb5 0.796 0.397 0.592
Pr1 0.500 0.000 0.000
Nd1 0.609 0.803 0.219
Nd2 0.904 0.697 0.809
Nd3 0.391 0.197 0.781
Nd4 0.096 0.303 0.191



First-principles (PBE) data for an optimized crystal structure of TbPr2Nd8, as listed in Alexandria.

Summary:
Excess energy over the best structure of this formula in the dataset ... 0.0284 eV per atom
Magnetic moment ... 0.00 Bohr magnetons per cell
Energy of formation ... 0.15 eV/atom

Cell lengths 6.849, 10.429, 10.429 Å; angles 38.56, 59.73, 59.73 degrees
Fractional coordinates of all 11 atoms:
Tb1 0.000 0.000 0.000
Pr1 0.585 0.804 0.804
Pr2 0.415 0.196 0.196
Nd1 0.231 0.350 0.824
Nd2 0.769 0.176 0.650
Nd3 0.172 0.756 0.756
Nd4 0.828 0.244 0.244
Nd5 0.231 0.824 0.350
Nd6 0.769 0.650 0.176
Nd7 0.732 0.591 0.591
Nd8 0.268 0.409 0.409



First-principles (PBE) data for an optimized crystal structure of Tb2PrNd9, as listed in Alexandria.

Summary:
Magnetic moment ... 0.00 Bohr magnetons per cell
Energy of formation ... 0.01 eV/atom

Cell lengths 5.178, 5.178, 15.541 Å; angles 90.00, 90.00, 90.00 degrees
Fractional coordinates of all 12 atoms:
Tb1 0.000 0.000 0.335
Tb2 0.000 0.000 0.665
Pr1 0.000 0.000 0.000
Nd1 0.500 0.500 0.000
Nd2 0.500 0.500 0.335
Nd3 0.500 0.500 0.665
Nd4 0.500 0.000 0.169
Nd5 0.500 0.000 0.500
Nd6 0.500 0.000 0.831
Nd7 0.000 0.500 0.169
Nd8 0.000 0.500 0.500
Nd9 0.000 0.500 0.831



First-principles (PBE) data for an optimized crystal structure of TbPr4Nd2, as listed in Alexandria.

Summary:
Excess energy over the best structure of this formula in the dataset ... 0.1139 eV per atom
Magnetic moment ... 0.00 Bohr magnetons per cell
Energy of formation ... 0.12 eV/atom

Cell lengths 6.856, 6.856, 11.707 Å; angles 104.78, 104.78, 97.40 degrees
Fractional coordinates of all 14 atoms:
Tb1 0.867 0.367 0.500
Tb2 0.617 0.617 0.000
Pr1 0.327 0.813 0.781
Pr2 0.063 0.077 0.281
Pr3 0.130 0.294 0.822
Pr4 0.544 0.880 0.322
Pr5 0.558 0.222 0.678
Pr6 0.033 0.546 0.219
Pr7 0.796 0.783 0.719
Pr8 0.472 0.308 0.178
Nd1 0.376 0.525 0.487
Nd2 0.038 0.889 0.513
Nd3 0.139 0.788 0.013
Nd4 0.775 0.126 0.987



First-principles (PBE) data for an optimized crystal structure of Tb3Pr2Nd5, as listed in Alexandria.

Summary:
Excess energy over the best structure of this formula in the dataset ... 0.0000 eV per atom
Magnetic moment ... 0.00 Bohr magnetons per cell
Energy of formation ... 0.18 eV/atom

Cell lengths 9.846, 9.880, 11.278 Å; angles 126.93, 126.86, 68.10 degrees
Fractional coordinates of all 20 atoms:
Tb1 0.228 0.978 0.956
Tb2 0.772 0.022 0.044
Tb3 0.731 0.465 0.244
Tb4 0.269 0.535 0.756
Tb5 0.013 0.779 0.244
Tb6 0.987 0.221 0.756
Pr1 0.785 0.024 0.754
Pr2 0.215 0.976 0.246
Pr3 0.469 0.731 0.754
Pr4 0.531 0.269 0.246
Nd1 0.281 0.531 0.062
Nd2 0.719 0.469 0.938
Nd3 0.021 0.771 0.542
Nd4 0.519 0.269 0.537
Nd5 0.979 0.229 0.458
Nd6 0.481 0.731 0.463
Nd7 0.872 0.617 0.761
Nd8 0.128 0.383 0.239
Nd9 0.390 0.145 0.761
Nd10 0.610 0.855 0.239



First-principles (PBE) data for an optimized crystal structure of TbPr2Nd4, as listed in Alexandria.

Summary:
Excess energy over the best structure of this formula in the dataset ... 0.0211 eV per atom
Magnetic moment ... 0.00 Bohr magnetons per cell
Energy of formation ... 0.03 eV/atom

Cell lengths 9.510, 7.006, 8.756 Å; angles 76.01, 115.21, 108.96 degrees
Fractional coordinates of all 14 atoms:
Tb1 0.362 0.458 0.511
Tb2 0.960 0.077 0.989
Pr1 0.505 0.888 0.227
Pr2 0.649 0.315 0.939
Pr3 0.101 0.505 0.702
Pr4 0.817 0.648 0.274
Nd1 0.791 0.746 0.656
Nd2 0.220 0.031 0.797
Nd3 0.936 0.170 0.369
Nd4 0.245 0.937 0.416
Nd5 0.673 0.221 0.561
Nd6 0.386 0.365 0.132
Nd7 0.077 0.600 0.084
Nd8 0.530 0.790 0.844